Below is a relaxed structure of BaGa3Tc, with properties calculated at the PBE-GGA level.

Structure (CIF):
```
data_BaGa3Tc
_chemical_formula_sum 'Ba2 Ga6 Tc2'
_symmetry_space_group_name_H-M 'P 1'
_symmetry_Int_Tables_number 1
_cell_length_a 7.422
_cell_length_b 7.422
_cell_length_c 5.099
_cell_angle_alpha 90.00
_cell_angle_beta 90.00
_cell_angle_gamma 124.37
loop_
_symmetry_equiv_pos_as_xyz
'x,y,z'
loop_
_atom_site_label
_atom_site_type_symbol
_atom_site_fract_x
_atom_site_fract_y
_atom_site_fract_z
Ba1 Ba 0.083 0.917 0.750
Ba2 Ba 0.917 0.083 0.250
Ga1 Ga 0.066 0.588 0.250
Ga2 Ga 0.412 0.934 0.250
Ga3 Ga 0.500 0.500 0.000
Ga4 Ga 0.500 0.500 0.500
Ga5 Ga 0.588 0.066 0.750
Ga6 Ga 0.934 0.412 0.750
Tc1 Tc 0.338 0.662 0.750
Tc2 Tc 0.662 0.338 0.250
```

Values from the calculation:
- symmetry = Cmcm, No. 63
- relative energy among the computed polymorphs (meV/atom) = 397
- raw total energy (eV per atom) = -4.305
- calculated formation energy (eV/atom) = -0.03
- magnetization (μB/f.u.) = 0.00